The following is a DFT calculation (meta-GGA SCAN) of a crystal of NbPRu3 relaxed with PBEsol.

## Properties
Energy of formation from the pure elements (meV per atom): 1997

a = 4.6181 Å, b = 4.6181 Å, c = 4.6181 Å
α = 90.00°, β = 90.00°, γ = 90.00°
Space group Pm-3m (No. 221)
Inequivalent atoms, fractional coordinates:
Nb: 0.0000 0.0000 0.0000 [1 per cell]
P: 0.5000 0.5000 0.5000 [1 per cell]
Ru: 0.0000 0.0000 0.5000 [3 per cell]

---

The following is a DFT calculation (meta-GGA SCAN) of a crystal of SrEr2S4 relaxed with PBEsol.

## Properties
Uncorrected formation energy (meV/atom): -2428.4

a = 11.7641 Å, b = 3.9140 Å, c = 14.0876 Å
α = 90.00°, β = 90.00°, γ = 90.00°
Space group Pnma (No. 62)
Inequivalent atoms, fractional coordinates:
Sr: 0.2426 0.2500 0.1626 [4 per cell]
Er: 0.0690 0.2500 0.3909 [4 per cell]
Er: 0.0798 0.2500 0.8994 [4 per cell]
S: 0.0218 0.7500 0.7836 [4 per cell]
S: 0.0851 0.2500 0.5793 [4 per cell]
S: 0.1310 0.7500 0.0260 [4 per cell]
S: 0.2079 0.7500 0.3265 [4 per cell]

---

The following is a DFT calculation (meta-GGA SCAN) of a crystal of Dy2Ni7Sn3 relaxed with PBEsol.

## Properties
Energy of formation from the pure elements (meV per atom): -415

a = 8.4634 Å, b = 23.4300 Å, c = 7.4466 Å
α = 90.00°, β = 90.00°, γ = 90.00°
Space group Cmce (No. 64)
Inequivalent atoms, fractional coordinates:
Dy: 0.0000 0.1934 0.0726 [8 per cell]
Dy: 0.2063 0.0000 0.5000 [8 per cell]
Ni: 0.0000 0.0464 0.1461 [8 per cell]
Ni: 0.0000 0.1006 0.4453 [8 per cell]
Ni: 0.0000 0.1646 0.6905 [8 per cell]
Ni: 0.1484 0.1972 0.4215 [16 per cell]
Ni: 0.2391 0.1163 0.9080 [16 per cell]
Sn: 0.0000 0.0617 0.7955 [8 per cell]
Sn: 0.2500 0.1060 0.2500 [8 per cell]
Sn: 0.2500 0.2187 0.7500 [8 per cell]

---

The following is a DFT calculation (meta-GGA SCAN) of a crystal of Be4FeIr relaxed with PBEsol.

## Properties
Energy of formation from the pure elements (meV per atom): -481

a = 5.9800 Å, b = 5.9800 Å, c = 5.9800 Å
α = 90.00°, β = 90.00°, γ = 90.00°
Space group F-43m (No. 216)
Inequivalent atoms, fractional coordinates:
Be: 0.1241 0.1241 0.1241 [16 per cell]
Fe: 0.2500 0.2500 0.7500 [4 per cell]
Ir: 0.0000 0.0000 0.5000 [4 per cell]

---

The following is a DFT calculation (meta-GGA SCAN) of a crystal of NbINF2 relaxed with PBEsol.

## Properties
Uncorrected formation energy (meV/atom): -1053.9

a = 4.1809 Å, b = 4.1809 Å, c = 4.1848 Å
α = 90.00°, β = 90.00°, γ = 90.00°
Space group P4/mmm (No. 123)
Inequivalent atoms, fractional coordinates:
Nb: 0.0000 0.0000 0.0000 [1 per cell]
I: 0.5000 0.5000 0.5000 [1 per cell]
N: 0.0000 0.0000 0.5000 [1 per cell]
F: 0.0000 0.5000 0.0000 [2 per cell]

---

The following is a DFT calculation (meta-GGA SCAN) of a crystal of RePBr2 relaxed with PBEsol.

## Properties
Uncorrected formation energy (meV/atom): 1379.5
Offset from the most stable computed form (meV/atom): 1064

a = 6.4695 Å, b = 6.4695 Å, c = 6.4695 Å
α = 90.00°, β = 90.00°, γ = 90.00°
Space group F-43m (No. 216)
Inequivalent atoms, fractional coordinates:
Re: 0.0000 0.0000 0.0000 [4 per cell]
P: 0.2500 0.2500 0.2500 [4 per cell]
Br: 0.0000 0.0000 0.5000 [4 per cell]
Br: 0.2500 0.2500 0.7500 [4 per cell]

---

The following is a DFT calculation (meta-GGA SCAN) of a crystal of KLi3Bi relaxed with PBEsol.

## Properties
Energy of formation from the pure elements (meV per atom): -270

a = 5.4158 Å, b = 5.4158 Å, c = 5.4158 Å
α = 90.00°, β = 90.00°, γ = 90.00°
Space group Pm-3m (No. 221)
Inequivalent atoms, fractional coordinates:
K: 0.0000 0.0000 0.0000 [1 per cell]
Li: 0.0000 0.5000 0.5000 [3 per cell]
Bi: 0.5000 0.5000 0.5000 [1 per cell]

---

The following is a DFT calculation (meta-GGA SCAN) of a crystal of Nd3Ga2 relaxed with PBEsol.

## Properties
Energy of formation from the pure elements (meV per atom): -582

a = 11.7441 Å, b = 11.7441 Å, c = 15.2955 Å
α = 90.00°, β = 90.00°, γ = 90.00°
Space group I4/mcm (No. 140)
Inequivalent atoms, fractional coordinates:
Nd: 0.0000 0.5000 0.1508 [8 per cell]
Nd: 0.0667 0.1989 0.1337 [32 per cell]
Nd: 0.1668 0.3332 0.5000 [8 per cell]
Ga: 0.0000 0.0000 0.0000 [4 per cell]
Ga: 0.0000 0.0000 0.2500 [4 per cell]
Ga: 0.1147 0.3853 0.0000 [8 per cell]
Ga: 0.1801 0.3199 0.2964 [16 per cell]

---

The following is a DFT calculation (meta-GGA SCAN) of a crystal of CsBe2TlPt relaxed with PBEsol.

## Properties
Energy of formation from the pure elements (meV per atom): 87

a = 4.6768 Å, b = 4.6768 Å, c = 5.2223 Å
α = 90.00°, β = 90.00°, γ = 90.00°
Space group P4/mmm (No. 123)
Inequivalent atoms, fractional coordinates:
Cs: 0.0000 0.0000 0.0000 [1 per cell]
Be: 0.0000 0.5000 0.5000 [2 per cell]
Tl: 0.5000 0.5000 0.0000 [1 per cell]
Pt: 0.5000 0.5000 0.5000 [1 per cell]

---

The following is a DFT calculation (meta-GGA SCAN) of a crystal of LiLaSb relaxed with PBEsol.

## Properties
Uncorrected formation energy (meV/atom): -1030.0
Offset from the most stable computed form (meV/atom): 0

a = 4.5213 Å, b = 4.5213 Å, c = 4.2834 Å
α = 90.00°, β = 90.00°, γ = 120.00°
Space group P-6m2 (No. 187)
Inequivalent atoms, fractional coordinates:
Li: 0.0000 0.0000 0.0000 [1 per cell]
La: 0.6667 0.3333 0.5000 [1 per cell]
Sb: 0.3333 0.6667 0.0000 [1 per cell]

---

The following is a DFT calculation (meta-GGA SCAN) of a crystal of Al2ReAs relaxed with PBEsol.

## Properties
Energy of formation from the pure elements (meV per atom): 186
Offset from the most stable computed form (meV/atom): 133

a = 3.2720 Å, b = 4.1907 Å, c = 4.3484 Å
α = 90.00°, β = 90.00°, γ = 90.00°
Space group Pmmm (No. 47)
Inequivalent atoms, fractional coordinates:
Al: 0.0000 0.0000 0.0000 [1 per cell]
Al: 0.5000 0.0000 0.5000 [1 per cell]
Re: 0.0000 0.5000 0.5000 [1 per cell]
As: 0.5000 0.5000 0.0000 [1 per cell]

---

The following is a DFT calculation (meta-GGA SCAN) of a crystal of SrTaPt2 relaxed with PBEsol.

## Properties
Energy of formation from the pure elements (meV per atom): -252

a = 2.8579 Å, b = 4.9913 Å, c = 5.4827 Å
α = 90.00°, β = 90.00°, γ = 90.00°
Space group Pmm2 (No. 25)
Inequivalent atoms, fractional coordinates:
Sr: 0.0000 0.0000 0.0000 [1 per cell]
Ta: 0.5000 0.5000 0.4978 [1 per cell]
Pt: 0.0000 0.0000 0.4998 [1 per cell]
Pt: 0.5000 0.5000 0.9978 [1 per cell]

---

Going through the records in order, we get calculated volume values of 19.7, 23.2, 15.4, 8.9, 14.6, 16.9, 31.8, 26.4, 22.8, 25.3, 14.9, 19.6 Å³ per atom.
Going through the records in order, we get total moment values of 2.358, 0.000, 0.011, 12.635, 0.002, 7.182, 0.001, 0.001, 0.000, 0.922, 0.000, 0.000 μB/cell.